{"formula": "LiAuNF2", "functional": "GGA-PBEsol", "state": "relaxed", "spacegroup": "No. 123", "dos_ef_per_ev_fu": 1.5, "formation_energy_uncorrected_mev_per_atom": -417, "lattice_angstrom": [[3.6693, 0.0000, 0.0000], [0.0000, 4.6115, 0.0000], [0.0000, 0.0000, 4.6115]], "species": ["F", "F", "N", "Au", "Li"], "frac_coords": [[0.0000, 0.0000, 0.5000], [0.0000, 0.5000, 0.0000], [0.5000, 0.0000, 0.0000], [0.0000, 0.0000, 0.0000], [0.5000, 0.5000, 0.5000]]}

---

{"formula": "MgAu2F8", "functional": "GGA-PBEsol", "state": "relaxed", "spacegroup": "No. 14", "dos_ef_per_ev_fu": 0.0, "formation_energy_uncorrected_mev_per_atom": -1716, "lattice_angstrom": [[5.5053, 0.0000, -0.0008], [0.0000, 5.5235, 0.0000], [-1.8796, 0.0000, 10.2413]], "species": ["Au", "Au", "Au", "Au", "F", "F", "F", "F", "F", "F", "F", "F", "F", "F", "F", "F", "F", "F", "F", "F", "Mg", "Mg"], "frac_coords": [[0.9618, 0.2206, 0.8292], [0.0382, 0.7794, 0.1708], [0.4618, 0.2794, 0.3292], [0.5382, 0.7206, 0.6708], [0.3851, 0.6256, 0.8170], [0.1472, 0.2805, 0.2158], [0.8018, 0.3137, 0.9732], [0.3018, 0.1863, 0.4732], [0.6149, 0.3744, 0.1830], [0.7163, 0.7848, 0.0543], [0.8528, 0.7195, 0.7842], [0.6472, 0.2195, 0.7158], [0.3528, 0.7805, 0.2842], [0.1982, 0.6863, 0.0268], [0.6982, 0.8137, 0.5268], [0.2163, 0.7152, 0.5543], [0.1149, 0.1256, 0.6830], [0.2837, 0.2152, 0.9457], [0.7837, 0.2848, 0.4457], [0.8851, 0.8744, 0.3170], [0.0000, 0.0000, 0.5000], [0.5000, 0.5000, 0.0000]]}

---

{"formula": "MgAuO2F", "functional": "GGA-PBEsol", "state": "relaxed", "spacegroup": "No. 123", "dos_ef_per_ev_fu": 1.1, "formation_energy_uncorrected_mev_per_atom": -589, "lattice_angstrom": [[-2.2173, 1.0686, -3.2284], [-3.2065, -1.9405, 1.5600], [-1.1647, 3.4987, 1.9580]], "species": ["F", "O", "O", "Mg", "Au"], "frac_coords": [[0.0000, 0.0000, 0.5000], [0.0000, 0.5000, 0.0000], [0.5000, 0.0000, 0.0000], [0.5000, 0.5000, 0.5000], [0.0000, 0.0000, 0.0000]]}

---

{"formula": "MgRe2AuF", "functional": "GGA-PBEsol", "state": "relaxed", "spacegroup": "No. 123", "dos_ef_per_ev_fu": 4.2, "formation_energy_uncorrected_mev_per_atom": 935, "lattice_angstrom": [[3.9927, 0.0000, 0.0000], [0.0000, 3.9927, 0.0000], [0.0000, 0.0000, 4.9688]], "species": ["F", "Au", "Re", "Re", "Mg"], "frac_coords": [[0.0000, 0.0000, 0.0000], [0.0000, 0.0000, 0.5000], [0.5000, 0.0000, 0.0000], [0.0000, 0.5000, 0.0000], [0.5000, 0.5000, 0.5000]]}

---

{"formula": "Mg2AuSeF", "functional": "GGA-PBEsol", "state": "relaxed", "spacegroup": "No. 123", "dos_ef_per_ev_fu": 1.1, "formation_energy_uncorrected_mev_per_atom": -824, "lattice_angstrom": [[-2.7119, 1.5290, 2.5951], [-1.3690, -3.7362, 0.7707], [3.4892, -0.4693, 3.9227]], "species": ["Au", "Se", "F", "Mg", "Mg"], "frac_coords": [[0.5000, 0.5000, 0.5000], [0.0000, 0.0000, 0.5000], [0.0000, 0.0000, 0.0000], [0.5000, 0.0000, 0.0000], [0.0000, 0.5000, 0.0000]]}

---

{"formula": "MnRuAuF2", "functional": "GGA-PBEsol", "state": "relaxed", "spacegroup": "No. 123", "dos_ef_per_ev_fu": 3.7, "formation_energy_uncorrected_mev_per_atom": -226, "lattice_angstrom": [[-1.2152, 3.6937, -0.2411], [-2.8264, -1.0898, -2.4500], [-3.2692, -0.8060, 4.1300]], "species": ["Mn", "Ru", "F", "F", "Au"], "frac_coords": [[0.5000, 0.5000, 0.5000], [0.0000, 0.0000, 0.0000], [0.0000, 0.5000, 0.0000], [0.5000, 0.0000, 0.0000], [0.0000, 0.0000, 0.5000]]}

---

{"formula": "MoPdAuF2", "functional": "GGA-PBEsol", "state": "relaxed", "spacegroup": "No. 123", "dos_ef_per_ev_fu": 4.2, "formation_energy_uncorrected_mev_per_atom": 142, "lattice_angstrom": [[-3.5008, 1.4392, -1.1053], [0.2724, -1.9578, -3.4120], [-2.4625, -4.2625, 2.2492]], "species": ["Au", "Mo", "Pd", "F", "F"], "frac_coords": [[0.5000, 0.5000, 0.5000], [0.0000, 0.0000, 0.5000], [0.0000, 0.0000, 0.0000], [0.5000, 0.0000, 0.0000], [0.0000, 0.5000, 0.0000]]}

---

{"formula": "OsAuN2F", "functional": "GGA-PBEsol", "state": "relaxed", "spacegroup": "No. 123", "dos_ef_per_ev_fu": 4.5, "formation_energy_uncorrected_mev_per_atom": 2173, "lattice_angstrom": [[-3.5047, 1.2084, 1.4866], [-1.8130, -1.0905, -3.3878], [-0.6285, -3.7033, 1.5284]], "species": ["Au", "F", "N", "N", "Os"], "frac_coords": [[0.0000, 0.0000, 0.0000], [0.0000, 0.0000, 0.5000], [0.0000, 0.5000, 0.0000], [0.5000, 0.0000, 0.0000], [0.5000, 0.5000, 0.5000]]}

---

{"formula": "PAuN2F", "functional": "GGA-PBEsol", "state": "relaxed", "spacegroup": "No. 123", "dos_ef_per_ev_fu": 1.8, "formation_energy_uncorrected_mev_per_atom": 1561, "lattice_angstrom": [[4.0059, 0.0000, 0.0000], [0.0000, 4.0059, 0.0000], [0.0000, 0.0000, 4.0827]], "species": ["F", "Au", "N", "N", "P"], "frac_coords": [[0.0000, 0.0000, 0.5000], [0.0000, 0.0000, 0.0000], [0.0000, 0.5000, 0.0000], [0.5000, 0.0000, 0.0000], [0.5000, 0.5000, 0.5000]]}

---

{"formula": "RbAuN2F", "functional": "GGA-PBEsol", "state": "relaxed", "spacegroup": "No. 123", "dos_ef_per_ev_fu": 1.4, "formation_energy_uncorrected_mev_per_atom": 1898, "lattice_angstrom": [[4.8324, 0.0000, 0.0000], [0.0000, 5.5271, 0.0000], [0.0000, 0.0000, 5.5271]], "species": ["Au", "Rb", "F", "N", "N"], "frac_coords": [[0.5000, 0.5000, 0.5000], [0.0000, 0.0000, 0.0000], [0.5000, 0.0000, 0.0000], [0.0000, 0.5000, 0.0000], [0.0000, 0.0000, 0.5000]]}

---

{"formula": "TiAuNF2", "functional": "GGA-PBEsol", "state": "relaxed", "spacegroup": "No. 123", "dos_ef_per_ev_fu": 4.0, "formation_energy_uncorrected_mev_per_atom": 131, "lattice_angstrom": [[3.7045, 0.0000, 0.0000], [0.0000, 4.5694, 0.0000], [0.0000, 0.0000, 4.5694]], "species": ["F", "F", "Au", "N", "Ti"], "frac_coords": [[0.0000, 0.0000, 0.5000], [0.0000, 0.5000, 0.0000], [0.0000, 0.0000, 0.0000], [0.5000, 0.0000, 0.0000], [0.5000, 0.5000, 0.5000]]}

---

{"formula": "TiAuN2F", "functional": "GGA-PBEsol", "state": "relaxed", "spacegroup": "No. 123", "dos_ef_per_ev_fu": 2.3, "formation_energy_uncorrected_mev_per_atom": 870, "lattice_angstrom": [[-0.6378, -1.5909, -3.5583], [-1.2678, -3.3249, 1.7138], [-3.8791, 1.4933, 0.0276]], "species": ["N", "N", "Au", "Ti", "F"], "frac_coords": [[0.5000, 0.0000, 0.0000], [0.0000, 0.5000, 0.0000], [0.0000, 0.0000, 0.0000], [0.5000, 0.5000, 0.5000], [0.0000, 0.0000, 0.5000]]}